A plane-wave DFT calculation with PBE was carried out for a relaxed LiAc3Ga2O9 crystal.

Summary:
ΔE_f (raw): -2.43 eV per atom
total moment: 2.1 μB per cell
space-group type: No. 164

a b c (Å): 5.5847 5.5847 6.9652
angles (deg): 90.00 90.00 120.00
Last column: nearest neighbours and their distance in Å.
Fractional coordinates of all 15 atoms:
Li 0.0000 0.0000 0.0000  6 O 2.03
Ac 0.0000 0.0000 0.5000  12 O 2.79-2.82
Ac 0.3333 0.6667 0.1562  12 O 2.77-2.89
Ac 0.6667 0.3333 0.8438  12 O 2.77-2.89
Ga 0.3333 0.6667 0.6626  6 O 1.96-1.97
Ga 0.6667 0.3333 0.3374  6 O 1.96-1.97
O 0.0000 0.5000 0.5000  2 Ga 1.97
O 0.1697 0.3393 0.8293  1 Ga 1.96, 1 Li 2.03
O 0.1697 0.8303 0.8293  1 Ga 1.96, 1 Li 2.03
O 0.3393 0.1697 0.1707  1 Ga 1.96, 1 Li 2.03
O 0.5000 0.0000 0.5000  2 Ga 1.97
O 0.5000 0.5000 0.5000  2 Ga 1.97
O 0.6607 0.8303 0.8293  1 Ga 1.96, 1 Li 2.03
O 0.8303 0.1697 0.1707  1 Ga 1.96, 1 Li 2.03
O 0.8303 0.6607 0.1707  1 Ga 1.96, 1 Li 2.03



A plane-wave DFT calculation with PBE was carried out for a relaxed LiAc4Ga3O12 crystal.

Summary:
ΔE_f (raw): -2.48 eV per atom
total moment: 2.0 μB per cell
space-group type: No. 229

a b c (Å): 6.8935 6.8935 6.8935
angles (deg): 109.47 109.47 109.47
Last column: nearest neighbours and their distance in Å.
Fractional coordinates of all 20 atoms:
Li 0.0000 0.0000 0.0000  6 O 2.05
Ac 0.0000 0.0000 0.5000  12 O 2.81
Ac 0.0000 0.5000 0.0000  12 O 2.81
Ac 0.5000 0.0000 0.0000  12 O 2.81
Ac 0.5000 0.5000 0.5000  12 O 2.81
Ga 0.0000 0.5000 0.5000  6 O 1.93-1.99
Ga 0.5000 0.0000 0.5000  6 O 1.93-1.99
Ga 0.5000 0.5000 0.0000  6 O 1.93-1.99
O 0.0000 0.2578 0.2578  1 Ga 1.93, 1 Li 2.05
O 0.0000 0.7422 0.7422  1 Ga 1.93, 1 Li 2.05
O 0.2500 0.5000 0.7500  2 Ga 1.99
O 0.2500 0.7500 0.5000  2 Ga 1.99
O 0.2578 0.0000 0.2578  1 Ga 1.93, 1 Li 2.05
O 0.2578 0.2578 0.0000  1 Ga 1.93, 1 Li 2.05
O 0.5000 0.2500 0.7500  2 Ga 1.99
O 0.5000 0.7500 0.2500  2 Ga 1.99
O 0.7422 0.0000 0.7422  1 Ga 1.93, 1 Li 2.05
O 0.7422 0.7422 0.0000  1 Ga 1.93, 1 Li 2.05
O 0.7500 0.2500 0.5000  2 Ga 1.99
O 0.7500 0.5000 0.2500  2 Ga 1.99



A plane-wave DFT calculation with PBE was carried out for a relaxed Li4Ac2GaPb3 crystal.

Summary:
total moment: 0.0 μB per cell
ΔE_f: -399 kJ/mol of formula units
space-group type: No. 115

a b c (Å): 4.7582 4.7582 11.0908
angles (deg): 90.00 90.00 90.00
Last column: nearest neighbours and their distance in Å.
Fractional coordinates of all 10 atoms:
Li 0.0000 0.0000 0.0000  4 Pb 2.79
Li 0.0000 0.5000 0.3775  3 Pb 2.72-2.74, 2 Ga 2.74
Li 0.5000 0.0000 0.6225  3 Pb 2.72-2.74, 2 Ga 2.74
Li 0.5000 0.5000 0.0000  4 Pb 2.79
Ac 0.0000 0.5000 0.7494  6 Pb 3.61-3.65, 8 Li 3.65-3.66, 2 Ga 3.65
Ac 0.5000 0.0000 0.2506  6 Pb 3.61-3.65, 8 Li 3.65-3.66, 2 Ga 3.65
Ga 0.5000 0.5000 0.5000  4 Li 2.74
Pb 0.0000 0.0000 0.5000  4 Li 2.74
Pb 0.0000 0.5000 0.1322  5 Li 2.72-2.79
Pb 0.5000 0.0000 0.8678  5 Li 2.72-2.79



A plane-wave DFT calculation with PBE was carried out for a relaxed Li3Ac2GaPb4 crystal.

Summary:
total moment: 0.0 μB per cell
ΔE_f: -411 kJ/mol of formula units
space-group type: No. 115

a b c (Å): 4.8133 4.8133 11.3541
angles (deg): 90.00 90.00 90.00
Last column: nearest neighbours and their distance in Å.
Fractional coordinates of all 10 atoms:
Li 0.0000 0.0000 0.0000  4 Pb 2.89
Li 0.0000 0.5000 0.6250  5 Pb 2.66-2.79
Li 0.5000 0.0000 0.3750  5 Pb 2.66-2.79
Ac 0.0000 0.5000 0.2486  8 Pb 3.62-3.73, 6 Li 3.69-3.71, 2 Ga 3.71
Ac 0.5000 0.0000 0.7514  8 Pb 3.62-3.73, 6 Li 3.69-3.71, 2 Ga 3.71
Ga 0.5000 0.5000 0.0000  4 Pb 2.89
Pb 0.0000 0.0000 0.5000  4 Li 2.79
Pb 0.0000 0.5000 0.8597  3 Li 2.66-2.89, 2 Ga 2.89
Pb 0.5000 0.0000 0.1403  3 Li 2.66-2.89, 2 Ga 2.89
Pb 0.5000 0.5000 0.5000  4 Li 2.79



A plane-wave DFT calculation with PBE was carried out for a relaxed LiAcGa2Pd4 crystal.

Summary:
total moment: 0.0 μB per cell
ΔE_f: -574 kJ/mol of formula units
space-group type: No. 166

a b c (Å): 9.2464 9.2464 9.2464
angles (deg): 27.09 27.09 27.09
Last column: nearest neighbours and their distance in Å.
Fractional coordinates of all 8 atoms:
Li 0.0000 0.0000 0.0000  8 Pd 2.49-2.66
Ac 0.5000 0.5000 0.5000  8 Pd 3.18-3.54
Ga 0.2685 0.2685 0.2685  7 Pd 2.61-2.64
Ga 0.7315 0.7315 0.7315  7 Pd 2.61-2.64
Pd 0.0932 0.0932 0.0932  1 Li 2.49, 3 Ga 2.61
Pd 0.3675 0.3675 0.3675  4 Ga 2.63-2.64, 3 Li 2.66
Pd 0.6325 0.6325 0.6325  4 Ga 2.63-2.64, 3 Li 2.66
Pd 0.9068 0.9068 0.9068  1 Li 2.49, 3 Ga 2.61



A plane-wave DFT calculation with PBE was carried out for a relaxed Li2AcGaPd crystal.

Summary:
total moment: 0.0 μB per cell
ΔE_f: -207 kJ/mol of formula units
space-group type: No. 44

a b c (Å): 4.2730 4.4336 11.2768
angles (deg): 90.00 90.00 90.00
Last column: nearest neighbours and their distance in Å.
Fractional coordinates of all 10 atoms:
Li 0.0000 0.0000 0.0000  2 Pd 2.63, 2 Li 2.67
Li 0.0000 0.5000 0.3578  1 Pd 2.62, 2 Li 2.67, 2 Ga 2.67
Li 0.5000 0.0000 0.8578  1 Pd 2.62, 2 Li 2.67, 2 Ga 2.67
Li 0.5000 0.5000 0.5000  2 Pd 2.63, 2 Li 2.67
Ac 0.0000 0.5000 0.7323  4 Pd 3.31, 6 Li 3.38-3.39, 4 Ga 3.52-3.61
Ac 0.5000 0.0000 0.2323  4 Pd 3.31, 6 Li 3.38-3.39, 4 Ga 3.52-3.61
Ga 0.0000 0.0000 0.4904  2 Pd 2.62, 2 Li 2.67
Ga 0.5000 0.5000 0.9904  2 Pd 2.62, 2 Li 2.67
Pd 0.0000 0.5000 0.1252  2 Ga 2.62, 3 Li 2.62-2.63
Pd 0.5000 0.0000 0.6252  2 Ga 2.62, 3 Li 2.62-2.63